No. 1
A plane-wave DFT calculation with GGA-PBE was carried out for MnCo2Tc after structural relaxation.

Computed properties:
**Energy of formation from the pure elements**: 12 kJ/mol of atoms
**Raw total energy**: -8.309 eV/atom
**Spin magnetization**: 3.53 Bohr magnetons per cell
**Energy above the most stable polymorph in this dataset**: 0.116 eV per atom

a b c (Å): 4.441 4.441 4.401
angles (deg): 100.06 100.06 34.01
Fractional coordinates of all 4 atoms:
Mn  0.000  0.000  0.000
Co  0.252  0.252  0.751
Co  0.748  0.748  0.249
Tc  0.500  0.500  0.500

***

No. 2
A plane-wave DFT calculation with GGA-PBE was carried out for CrBi3I after structural relaxation.

Computed properties:
**Raw total energy**: -4.198 eV/atom
**Spin magnetization**: 0.00 Bohr magnetons per cell
**Energy above the most stable polymorph in this dataset**: 0.000 eV per atom
**Energy relative to the elements, uncorrected**: 8.425 kcal/mol of atoms

a b c (Å): 5.268 5.268 5.268
angles (deg): 90.00 90.00 90.00
Fractional coordinates of all 5 atoms:
Cr  0.000  0.000  0.000
Bi  0.000  0.000  0.500
Bi  0.000  0.500  0.000
Bi  0.500  0.000  0.000
I  0.500  0.500  0.500

***

Q: The lowest raw total energy belongs to which entry?
A: MnCo2Tc

***

Q: What is the spin magnetization in the second record?
A: 0.00 Bohr magnetons per cell

***

Q: Look up the spin magnetization of the first one.
A: 3.53 Bohr magnetons per cell

***

Q: Which of these has the lowest energy above the most stable polymorph in this dataset?
A: CrBi3I